No. 1
Compound: YCuTc
Source: the Alexandria database
Functional: GGA-PBEsol
Structure: optimized geometry

formation energy = 0.81 eV per atom
DFT total energy = -79.91 eV/cell

Cell and atoms, written as POSCAR:
```
YCuTc
1.0
6.172 0.000 0.000
0.000 6.172 0.000
0.000 0.000 6.172
Y Cu Tc
4 4 4
direct
0.000 0.000 0.000
0.000 0.500 0.500
0.500 0.000 0.500
0.500 0.500 0.000
0.000 0.000 0.500
0.000 0.500 0.000
0.500 0.000 0.000
0.500 0.500 0.500
0.250 0.250 0.250
0.250 0.750 0.750
0.750 0.250 0.750
0.750 0.750 0.250
```

No. 2
Compound: ZnCuTc2
Source: the Alexandria database
Functional: GGA-PBEsol
Structure: optimized geometry

formation energy = 0.22 eV per atom
DFT total energy = -55.15 eV/cell

Cell and atoms, written as POSCAR:
```
ZnCuTc2
1.0
8.960 0.000 0.000
0.000 2.647 0.000
-0.788 0.000 4.488
Zn Cu Tc
2 2 4
direct
0.000 0.000 0.000
0.500 0.500 0.000
0.000 0.500 0.500
0.500 0.000 0.500
0.248 0.000 0.747
0.252 0.500 0.253
0.748 0.500 0.747
0.752 0.000 0.253
```

Looking at density for the records above, in order, we have 7.1; 10.1 g cm⁻³.